Entry 1:
Compound: Rb2OsPt
Source: Alexandria via LeMat-Bulk
Functional: PBE-GGA
Structure: relaxed Values from VASP.

```
&SYSTEM
  ibrav = 0, nat = 4, ntyp = 3
/
ATOMIC_SPECIES
Pt 195.08 Pt.upf
Rb 85.47 Rb.upf
Os 190.23 Os.upf
CELL_PARAMETERS angstrom
0.452 -5.478 -1.386
2.740 -3.577 3.439
-2.894 -3.908 2.912
ATOMIC_POSITIONS angstrom
Pt 0.149 -6.482 2.483
Rb 0.074 -3.241 1.241
Os 0.000 0.000 0.000
Rb 0.223 -9.723 3.724
```

Results
Calculated formation energy, eV/atom: 1.742
E, eV/cell: -12.24
Magnetization, μB per cell: 3.96
D(E_F), states/eV per cell: 3.9

=====

Entry 2:
Compound: Nd5YPb5
Source: Alexandria via LeMat-Bulk
Functional: PBE-GGA
Structure: relaxed Values from VASP.

```
&SYSTEM
  ibrav = 0, nat = 11, ntyp = 3
/
ATOMIC_SPECIES
Nd 144.24 Nd.upf
Pb 207.20 Pb.upf
Y 88.91 Y.upf
CELL_PARAMETERS angstrom
6.263 0.000 0.000
-3.132 8.376 0.580
0.000 -2.431 7.000
ATOMIC_POSITIONS angstrom
Nd 0.000 5.218 1.879
Nd 0.000 3.730 5.316
Nd 0.000 -1.216 3.500
Pb 3.132 5.333 1.161
Pb 3.132 0.000 0.000
Pb 3.132 4.106 4.825
Pb 0.000 1.839 2.754
Nd 3.132 2.215 2.263
Y 0.000 0.000 0.000
Nd 3.132 0.727 5.700
Pb 0.000 0.612 6.419
```

Results
Calculated formation energy, eV/atom: -0.337
E, eV/cell: -52.55
Magnetization, μB per cell: 0.00
D(E_F), states/eV per cell: 7.8

=====

Entry 3:
Compound: Na3CuOs
Source: Alexandria via LeMat-Bulk
Functional: PBE-GGA
Structure: relaxed Values from VASP.

```
&SYSTEM
  ibrav = 0, nat = 5, ntyp = 3
/
ATOMIC_SPECIES
Na 22.99 Na.upf
Os 190.23 Os.upf
Cu 63.55 Cu.upf
CELL_PARAMETERS angstrom
-1.863 4.438 -1.818
-2.394 -2.550 -3.773
-4.156 -0.520 2.989
ATOMIC_POSITIONS angstrom
Na -1.197 -1.275 -1.887
Os -4.206 0.684 -1.301
Na -0.931 2.219 -0.909
Na -2.078 -0.260 1.494
Cu 0.000 0.000 0.000
```

Results
Calculated formation energy, eV/atom: 1.435
E, eV/cell: -12.11
Magnetization, μB per cell: 2.13
D(E_F), states/eV per cell: 6.8

=====

Q: Number 3 is which compound?
A: Na3CuOs

=====

Q: Which of these has the lowest calculated formation energy?
A: Nd5YPb5